No. 1
Material: RbMo
Method: DFT, PBE
State: optimized geometry

Output
The energy comes out at -4.56 eV per atom. As for the distance to the lowest polymorph of the same formula: 0.318 eV/atom. For the total magnetization, the calculation gives 0.57 μB per cell. The formation energy is 1.34 eV/atom. The space group is No. 176.

Cell and atoms, written as POSCAR:
```
RbMo
1.0
15.355 0.000 0.000
-7.677 13.298 0.000
0.000 0.000 3.251
Rb Mo
6 6
Direct
0.751 0.185 0.250
0.566 0.751 0.750
0.815 0.566 0.250
0.249 0.815 0.750
0.434 0.249 0.250
0.185 0.434 0.750
0.961 0.440 0.250
0.521 0.961 0.750
0.560 0.521 0.250
0.039 0.560 0.750
0.479 0.039 0.250
0.440 0.479 0.750
```

=====

No. 2
Material: RbMo
Method: DFT, PBE
State: optimized geometry

Output
The energy comes out at -4.57 eV per atom. As for the distance to the lowest polymorph of the same formula: 0.311 eV/atom. For the total magnetization, the calculation gives 0.83 μB per cell. The formation energy is 1.33 eV/atom. The space group is No. 87.

Cell and atoms, written as POSCAR:
```
RbMo
1.0
15.741 0.000 0.000
0.000 15.741 0.000
0.000 0.000 3.255
Rb Mo
8 8
Direct
0.470 0.760 0.000
0.530 0.240 0.000
0.240 0.470 0.000
0.760 0.530 0.000
0.970 0.260 0.500
0.030 0.740 0.500
0.740 0.970 0.500
0.260 0.030 0.500
0.302 0.248 0.000
0.698 0.752 0.000
0.752 0.302 0.000
0.248 0.698 0.000
0.802 0.748 0.500
0.198 0.252 0.500
0.252 0.802 0.500
0.748 0.198 0.500
```